[1]
5
Lattice="-2.518 2.518 4.874 2.518 -2.518 4.874 2.518 2.518 -4.874" Properties=species:S:1:pos:R:3 comment="BaLi2Al2 meta-GGA SCAN single point on PBEsol structure" total_magnetization_mub_per_cell=0.0 delta_e_f_ev_per_atom=-0.087 pbc="T T T"
Ba 0.000 0.000 0.000
Li 2.518 0.000 2.437
Li 0.000 2.518 2.437
Al 0.000 0.000 3.603
Al 0.000 0.000 6.145

***

[2]
4
Lattice="0.000 3.170 3.170 3.170 0.000 3.170 3.170 3.170 0.000" Properties=species:S:1:pos:R:3 comment="ReAuCl2 meta-GGA SCAN single point on PBEsol structure" total_magnetization_mub_per_cell=0.0 formation_energy_uncorrected_ev_per_atom=1.3721 pbc="T T T"
Re 0.000 0.000 0.000
Au 3.170 3.170 3.170
Cl 1.585 1.585 1.585
Cl 4.756 4.756 4.756

***

[3]
4
Lattice="-1.496 2.512 4.749 1.496 -2.512 4.749 1.496 2.512 -4.749" Properties=species:S:1:pos:R:3 comment="MgTa2Ag meta-GGA SCAN single point on PBEsol structure" total_magnetization_mub_per_cell=0.0 delta_e_f_ev_per_atom=0.372 pbc="T T T"
Mg 0.000 0.000 0.000
Ta 0.000 0.000 4.614
Ta 0.000 2.512 2.152
Ag 1.496 0.000 2.245

***

[4]
4
Lattice="3.019 0.000 0.000 0.000 3.019 0.000 0.000 0.000 8.316" Properties=species:S:1:pos:R:3 comment="ZnCd2As meta-GGA SCAN single point on PBEsol structure" total_magnetization_mub_per_cell=0.0 delta_e_f_ev_per_atom=0.188 pbc="T T T"
Zn 0.000 0.000 0.000
Cd 1.510 1.510 1.936
Cd 1.510 1.510 6.380
As 0.000 0.000 4.158